This record from Alexandria describes Zn2Ga5Ni12 after structural relaxation. The functional is GGA-PBE.

crystal system: monoclinic
formation enthalpy at 0 K: -1.38 kJ/mol of atoms
D(E_F): 19.97 states/eV per cell

a b c (Å): 6.7706 6.7706 7.9636
angles (deg): 99.56 99.56 44.22
Fractional positions:
Zn  0.2311  0.7689  0.0000
Zn  0.7689  0.2311  0.0000
Ga  0.2075  0.2075  0.9541
Ga  0.2500  0.2500  0.4929
Ga  0.5000  0.5000  0.5000
Ga  0.7500  0.7500  0.5071
Ga  0.7925  0.7925  0.0459
Ni  0.0442  0.0442  0.3620
Ni  0.0682  0.5796  0.7902
Ni  0.1055  0.6290  0.3260
Ni  0.3710  0.8945  0.6740
Ni  0.4204  0.9318  0.2098
Ni  0.4793  0.4793  0.7648
Ni  0.5207  0.5207  0.2352
Ni  0.5796  0.0682  0.7902
Ni  0.6290  0.1055  0.3260
Ni  0.8945  0.3710  0.6740
Ni  0.9318  0.4204  0.2098
Ni  0.9558  0.9558  0.6380

***

This record from Alexandria describes LiIrOs after structural relaxation. The functional is GGA-PBE.

crystal system: trigonal
excess energy over the best structure of this formula in the dataset: 91 meV/atom
formation enthalpy at 0 K: 6.25 kJ/mol of atoms
D(E_F): 4.63 states/eV per cell

a b c (Å): 4.3487 4.3487 5.0751
angles (deg): 90.00 90.00 120.00
Fractional positions:
Li  0.0000  0.0000  0.0000
Li  0.3333  0.6667  0.0185
Ir  0.3333  0.6667  0.5193
Ir  0.6667  0.3333  0.7755
Os  0.0000  0.0000  0.4987
Os  0.6667  0.3333  0.2705

***

This record from Alexandria describes TbGd2 after structural relaxation. The functional is GGA-PBE.

crystal system: cubic
excess energy over the best structure of this formula in the dataset: 168 meV/atom
formation enthalpy at 0 K: 24.87 kJ/mol of atoms
D(E_F): 12.20 states/eV per cell

a b c (Å): 6.5796 6.5796 6.5796
angles (deg): 60.00 60.00 60.00
Fractional positions:
Tb  0.1250  0.1250  0.1250
Tb  0.8750  0.8750  0.8750
Gd  0.0000  0.5000  0.5000
Gd  0.5000  0.0000  0.5000
Gd  0.5000  0.5000  0.0000
Gd  0.5000  0.5000  0.5000

***

This record from Alexandria describes Pm2TmPd9 after structural relaxation. The functional is GGA-PBE.

crystal system: tetragonal
formation enthalpy at 0 K: -79.85 kJ/mol of atoms
D(E_F): 8.69 states/eV per cell

a b c (Å): 4.1635 4.1635 12.4242
angles (deg): 90.00 90.00 90.00
Fractional positions:
Pm  0.0000  0.0000  0.1705
Pm  0.0000  0.0000  0.8295
Tm  0.0000  0.0000  0.5000
Pd  0.0000  0.5000  0.0000
Pd  0.0000  0.5000  0.3393
Pd  0.0000  0.5000  0.6607
Pd  0.5000  0.0000  0.0000
Pd  0.5000  0.0000  0.3393
Pd  0.5000  0.0000  0.6607
Pd  0.5000  0.5000  0.1686
Pd  0.5000  0.5000  0.5000
Pd  0.5000  0.5000  0.8314

***

This record from Alexandria describes Ac2PrZn after structural relaxation. The functional is GGA-PBE.

crystal system: tetragonal
excess energy over the best structure of this formula in the dataset: 3 meV/atom
formation enthalpy at 0 K: -11.03 kJ/mol of atoms
D(E_F): 4.29 states/eV per cell

a b c (Å): 3.9153 3.9153 9.2725
angles (deg): 90.00 90.00 90.00
Fractional positions:
Ac  0.0000  0.0000  0.2101
Ac  0.0000  0.0000  0.7899
Pr  0.5000  0.5000  0.5000
Zn  0.5000  0.5000  0.0000

***

This record from Alexandria describes CoOsBr after structural relaxation. The functional is GGA-PBE.

raw formation energy: 1.025 eV per atom
crystal system: orthorhombic
excess energy over the best structure of this formula in the dataset: 715 meV/atom
D(E_F): 3.50 states/eV per cell

a b c (Å): 7.7971 7.5285 2.8335
angles (deg): 84.74 74.05 21.22
Fractional positions:
Co  0.0000  0.0000  0.0000
Os  0.3662  0.3662  0.6338
Br  0.6423  0.6423  0.3577

***

This record from Alexandria describes Ac4Bi3H4 after structural relaxation. The functional is GGA-PBE.

crystal system: cubic
total DFT energy (no corrections): -49.30 eV for the cell shown
D(E_F): 2.48 states/eV per cell

a b c (Å): 7.1160 7.1160 7.1160
angles (deg): 109.47 109.47 109.47
Fractional positions:
Ac  0.0000  0.0000  0.3694
Ac  0.0000  0.3694  0.0000
Ac  0.3694  0.0000  0.0000
Ac  0.6306  0.6306  0.6306
Bi  0.0000  0.5000  0.5000
Bi  0.5000  0.0000  0.5000
Bi  0.5000  0.5000  0.0000
H  0.0000  0.0000  0.7581
H  0.0000  0.7581  0.0000
H  0.2419  0.2419  0.2419
H  0.7581  0.0000  0.0000

***

This record from Alexandria describes Al2TcPb2 after structural relaxation. The functional is GGA-PBE.

crystal system: tetragonal
excess energy over the best structure of this formula in the dataset: 526 meV/atom
formation enthalpy at 0 K: 94.60 kJ/mol of atoms
D(E_F): 3.43 states/eV per cell

a b c (Å): 7.6252 7.6252 7.6252
angles (deg): 148.03 148.03 45.85
Fractional positions:
Al  0.0869  0.0869  0.0000
Al  0.9131  0.9131  0.0000
Tc  0.5000  0.5000  0.0000
Pb  0.2500  0.7500  0.5000
Pb  0.7500  0.2500  0.5000

***

This record from Alexandria describes Rb3MgP after structural relaxation. The functional is GGA-PBE.

crystal system: cubic
excess energy over the best structure of this formula in the dataset: 0 meV/atom
formation enthalpy at 0 K: 14.90 kJ/mol of atoms
D(E_F): 3.75 states/eV per cell

a b c (Å): 6.6657 6.6657 6.6657
angles (deg): 90.00 90.00 90.00
Fractional positions:
Rb  0.0000  0.0000  0.5000
Rb  0.0000  0.5000  0.0000
Rb  0.5000  0.0000  0.0000
Mg  0.5000  0.5000  0.5000
P  0.0000  0.0000  0.0000

***

This record from Alexandria describes La2MnPbBr after structural relaxation. The functional is GGA-PBE.

raw formation energy: 0.029 eV per atom
crystal system: tetragonal
D(E_F): 6.61 states/eV per cell

a b c (Å): 5.7608 5.7608 4.3691
angles (deg): 90.00 90.00 90.00
Fractional positions:
La  0.0000  0.5000  0.0000
La  0.5000  0.0000  0.0000
Mn  0.0000  0.0000  0.5000
Pb  0.5000  0.5000  0.5000
Br  0.0000  0.0000  0.0000

***

This record from Alexandria describes ScHgMo after structural relaxation. The functional is GGA-PBE.

crystal system: trigonal
excess energy over the best structure of this formula in the dataset: 107 meV/atom
formation enthalpy at 0 K: 25.28 kJ/mol of atoms
D(E_F): 1.98 states/eV per cell

a b c (Å): 3.1221 3.1221 7.0720
angles (deg): 90.00 90.00 120.00
Fractional positions:
Sc  0.0000  0.0000  0.0000
Hg  0.6667  0.3333  0.3545
Mo  0.3333  0.6667  0.6902

***

This record from Alexandria describes Nd8NiRh3I4 after structural relaxation. The functional is GGA-PBE.

raw formation energy: -0.877 eV per atom
crystal system: trigonal
D(E_F): 5.94 states/eV per cell

a b c (Å): 9.4674 9.4674 9.4674
angles (deg): 52.32 52.32 52.32
Fractional positions:
Nd  0.2290  0.2290  0.2290
Nd  0.2313  0.7260  0.7260
Nd  0.2740  0.2740  0.7687
Nd  0.2740  0.7687  0.2740
Nd  0.7260  0.2313  0.7260
Nd  0.7260  0.7260  0.2313
Nd  0.7687  0.2740  0.2740
Nd  0.7710  0.7710  0.7710
Ni  0.5000  0.5000  0.5000
Rh  0.0000  0.0000  0.5000
Rh  0.0000  0.5000  0.0000
Rh  0.5000  0.0000  0.0000
I  0.0000  0.0000  0.0000
I  0.0000  0.5000  0.5000
I  0.5000  0.0000  0.5000
I  0.5000  0.5000  0.0000

***

This record from Alexandria describes Co2H2N after structural relaxation. The functional is GGA-PBE.

crystal system: tetragonal
excess energy over the best structure of this formula in the dataset: 0 meV/atom
D(E_F): 6.35 states/eV per cell

a b c (Å): 4.9534 4.9534 3.1334
angles (deg): 90.00 90.00 90.00
Fractional positions:
Co  0.1876  0.3124  0.0000
Co  0.3124  0.8124  0.0000
Co  0.6876  0.1876  0.0000
Co  0.8124  0.6876  0.0000
H  0.1268  0.3732  0.5000
H  0.3732  0.8732  0.5000
H  0.6268  0.1268  0.5000
H  0.8732  0.6268  0.5000
N  0.0000  0.0000  0.0000
N  0.5000  0.5000  0.0000

***

This record from Alexandria describes Ac2CoAg after structural relaxation. The functional is GGA-PBE.

crystal system: trigonal
excess energy over the best structure of this formula in the dataset: 54 meV/atom
formation enthalpy at 0 K: -6.17 kJ/mol of atoms
D(E_F): 1.47 states/eV per cell

a b c (Å): 8.2410 8.2410 8.2410
angles (deg): 29.69 29.69 29.69
Fractional positions:
Ac  0.0000  0.0000  0.0000
Ac  0.1978  0.1978  0.1978
Co  0.5988  0.5988  0.5988
Ag  0.7652  0.7652  0.7652

***

This record from Alexandria describes CuPt2RhF after structural relaxation. The functional is GGA-PBE.

raw formation energy: 0.536 eV per atom
crystal system: tetragonal
D(E_F): 7.72 states/eV per cell

a b c (Å): 4.7900 4.7900 3.4820
angles (deg): 90.00 90.00 90.00
Fractional positions:
Cu  0.0000  0.0000  0.0000
Pt  0.0000  0.5000  0.0000
Pt  0.5000  0.0000  0.0000
Rh  0.5000  0.5000  0.5000
F  0.0000  0.0000  0.5000

***

This record from Alexandria describes MnNi3W after structural relaxation. The functional is GGA-PBE.

crystal system: orthorhombic
excess energy over the best structure of this formula in the dataset: 0 meV/atom
formation enthalpy at 0 K: 23.98 kJ/mol of atoms
D(E_F): 8.69 states/eV per cell

a b c (Å): 6.7130 6.7130 4.4710
angles (deg): 90.00 90.00 139.17
Fractional positions:
Mn  0.0702  0.9298  0.7500
Mn  0.9298  0.0702  0.2500
Ni  0.1067  0.3887  0.7500
Ni  0.3887  0.1067  0.2500
Ni  0.5000  0.5000  0.0000
Ni  0.5000  0.5000  0.5000
Ni  0.6113  0.8933  0.7500
Ni  0.8933  0.6113  0.2500
W  0.3106  0.6894  0.2500
W  0.6894  0.3106  0.7500

***

This record from Alexandria describes CaZrCrTc2 after structural relaxation. The functional is GGA-PBE.

crystal system: tetragonal
excess energy over the best structure of this formula in the dataset: 0 meV/atom
formation enthalpy at 0 K: 63.30 kJ/mol of atoms
D(E_F): 4.86 states/eV per cell

a b c (Å): 4.6156 4.6156 4.7790
angles (deg): 90.00 90.00 90.00
Fractional positions:
Ca  0.0000  0.0000  0.0000
Zr  0.5000  0.5000  0.0000
Cr  0.5000  0.5000  0.5000
Tc  0.0000  0.5000  0.5000
Tc  0.5000  0.0000  0.5000

***

This record from Alexandria describes UVTe2 after structural relaxation. The functional is GGA-PBE.

raw formation energy: -0.078 eV per atom
crystal system: tetragonal
excess energy over the best structure of this formula in the dataset: 0 meV/atom
D(E_F): 7.05 states/eV per cell

a b c (Å): 3.6218 3.6218 7.3244
angles (deg): 90.00 90.00 90.00
Fractional positions:
U  0.0000  0.0000  0.0000
V  0.0000  0.0000  0.5000
Te  0.5000  0.5000  0.2606
Te  0.5000  0.5000  0.7394

***

This record from Alexandria describes Cu2WBr after structural relaxation. The functional is GGA-PBE.

raw formation energy: 0.569 eV per atom
crystal system: trigonal
excess energy over the best structure of this formula in the dataset: 41 meV/atom
D(E_F): 4.45 states/eV per cell

a b c (Å): 8.7123 8.7123 8.7123
angles (deg): 19.49 19.49 19.49
Fractional positions:
Cu  0.2476  0.2476  0.2476
Cu  0.7524  0.7524  0.7524
W  0.5000  0.5000  0.5000
Br  0.0000  0.0000  0.0000

***

This record from Alexandria describes NaGa2Ge after structural relaxation. The functional is GGA-PBE.

crystal system: tetragonal
formation enthalpy at 0 K: 3.12 kJ/mol of atoms
D(E_F): 2.00 states/eV per cell

a b c (Å): 4.2354 4.2354 4.3652
angles (deg): 90.00 90.00 90.00
Fractional positions:
Na  0.0000  0.0000  0.0000
Ga  0.0000  0.5000  0.5000
Ga  0.5000  0.0000  0.5000
Ge  0.5000  0.5000  0.0000